# Er8Al2Ru, optimized geometry, DFT PBE
data_Er8Al2Ru
_chemical_formula_sum 'Er16 Al4 Ru2'
_cell_length_a 17.2577
_cell_length_b 5.2073
_cell_length_c 6.8474
_cell_angle_alpha 90.00
_cell_angle_beta 111.90
_cell_angle_gamma 90.00
_symmetry_space_group_name_H-M 'C 1 2/m 1'
_symmetry_Int_Tables_number 12
_symmetry_space_group_name_Hall '-C 2y'
loop_
_atom_site_label
_atom_site_type_symbol
_atom_site_fract_x
_atom_site_fract_y
_atom_site_fract_z
_atom_site_occupancy
Er1 Er 0.0148 0.0000 0.2786 1
Er2 Er 0.0980 0.5000 0.9202 1
Er3 Er 0.1496 0.5000 0.4358 1
Er4 Er 0.1984 0.0000 0.7725 1
Al1 Al 0.1793 0.0000 0.1934 1
Ru1 Ru 0.0000 0.5000 0.5000 1
# - energy of formation from the pure elements (eV/atom) = -0.241
# - crystal system = monoclinic